Record 1
The following is a GGA-PBE calculation of an optimized crystal structure of RuWCl, from Alexandria via LeMat-Bulk.

ΔE_f (raw): 0.814 eV per atom
DOS at the Fermi energy: 2.1 states/eV per cell
Uncorrected energy: -7.211 eV per atom

Cell: 4.683 4.683 4.683 Å, 144.16 129.86 63.15°
Atoms (fractional coordinates):
Ru 0.000 0.000 0.000
W 0.657 0.657 0.000
Cl 0.333 0.333 0.000

***

Record 2
The following is a GGA-PBE calculation of an optimized crystal structure of SiSnO2F, from Alexandria via LeMat-Bulk.

ΔE_f (raw): -1.435 eV per atom
DOS at the Fermi energy: 1.4 states/eV per cell
Uncorrected energy: -5.678 eV per atom

Cell: 3.710 3.710 4.463 Å, 90.00 90.00 90.00°
Atoms (fractional coordinates):
Si 0.000 0.000 0.000
Sn 0.500 0.500 0.500
O 0.000 0.500 0.000
O 0.500 0.000 0.000
F 0.000 0.000 0.500